a.
ReAg2Rh after structural relaxation, computed with PBE.

Calculated volume = 64 Å³ per cell
Theoretical density = 13.04 g cm⁻³
Space group = P4/mmm, No. 123

a b c (Å): 3.7754 3.7754 4.5088
angles (deg): 90.00 90.00 90.00
Fractional positions:
Rh 0.0000 0.0000 0.5000
Re 0.5000 0.5000 0.5000
Ag 0.0000 0.5000 0.0000
Ag 0.5000 0.0000 0.0000

***

b.
ReAg2Rh after structural relaxation, computed with PBE.

Calculated volume = 64 Å³ per cell
Theoretical density = 13.12 g cm⁻³
Space group = P4/mmm, No. 123

a b c (Å): 2.6784 2.6784 8.9092
angles (deg): 90.00 90.00 90.00
Fractional positions:
Re 0.5000 0.5000 0.0000
Rh 0.5000 0.5000 0.5000
Ag 0.0000 0.0000 0.7461
Ag 0.0000 0.0000 0.2539

***

c.
ReAg2Rh after structural relaxation, computed with PBE.

Calculated volume = 63 Å³ per cell
Theoretical density = 13.21 g cm⁻³
Space group = Fm-3m, No. 225

a b c (Å): 4.4769 4.4769 4.4769
angles (deg): 60.00 60.00 60.00
Fractional positions:
Ag 0.7500 0.7500 0.7500
Ag 0.2500 0.2500 0.2500
Rh 0.0000 0.0000 0.0000
Re 0.5000 0.5000 0.5000

***

d.
ReAg2Rh after structural relaxation, computed with PBE.

Calculated volume = 63 Å³ per cell
Theoretical density = 13.26 g cm⁻³
Space group = I-4m2, No. 119

a b c (Å): 4.7813 4.7813 4.7813
angles (deg): 129.64 129.64 73.98
Fractional positions:
Ag 0.2500 0.7500 0.5000
Ag 0.0000 0.0000 0.0000
Rh 0.7500 0.2500 0.5000
Re 0.5000 0.5000 0.0000

***

b comes first in stability; the runner-up is 0.054 eV/atom higher.

***

a.
ReAg2Rh after structural relaxation, computed with PBE.

Calculated volume = 65 Å³ per cell
Theoretical density = 12.98 g cm⁻³
Space group = Cmmm, No. 65

a b c (Å): 2.7313 2.7313 9.8104
angles (deg): 90.00 90.00 118.08
Fractional positions:
Re 0.5000 0.5000 0.5000
Ag 0.0000 0.0000 0.7541
Ag 0.0000 0.0000 0.2459
Rh 0.5000 0.5000 0.0000

***

b.
ReAg2Rh after structural relaxation, computed with PBE.

Calculated volume = 66 Å³ per cell
Theoretical density = 12.75 g cm⁻³
Space group = Imm2, No. 44

a b c (Å): 5.5737 5.5737 5.5737
angles (deg): 150.82 128.24 60.53
Fractional positions:
Rh 0.7338 0.2338 0.5000
Ag 0.2566 0.7566 0.5000
Ag 0.9908 0.9908 0.0000
Re 0.5189 0.5189 0.0000

***

a comes first in stability; the runner-up is 0.042 eV/atom higher.

***

a.
Re2AgRh after structural relaxation, computed with PBE.

Calculated volume = 61 Å³ per cell
Theoretical density = 15.80 g cm⁻³
Space group = Pmmm, No. 47

a b c (Å): 2.7018 4.1263 5.4982
angles (deg): 90.00 90.00 90.00
Fractional positions:
Re 0.0000 0.0000 0.7716
Re 0.0000 0.0000 0.2284
Ag 0.5000 0.5000 0.5000
Rh 0.5000 0.5000 0.0000

***

b.
Re2AgRh after structural relaxation, computed with PBE.

Calculated volume = 64 Å³ per cell
Theoretical density = 15.06 g cm⁻³
Space group = Imm2, No. 44

a b c (Å): 5.3676 5.3676 5.3676
angles (deg): 147.58 128.43 62.25
Fractional positions:
Re 0.2384 0.7384 0.5000
Re 0.0311 0.0311 0.0000
Rh 0.4763 0.4763 0.0000
Ag 0.7543 0.2543 0.5000

***

a comes first in stability; the runner-up is 0.107 eV/atom higher.

***

a.
Re2AgRh after structural relaxation, computed with PBE.

Calculated volume = 61 Å³ per cell
Theoretical density = 15.78 g cm⁻³
Space group = R-3m, No. 166

a b c (Å): 9.4964 9.4964 9.4964
angles (deg): 16.66 16.66 16.66
Fractional positions:
Re 0.2450 0.2450 0.2450
Re 0.7550 0.7550 0.7550
Rh 0.5000 0.5000 0.5000
Ag 0.0000 0.0000 0.0000

***

b.
Re2AgRh after structural relaxation, computed with PBE.

Calculated volume = 61 Å³ per cell
Theoretical density = 15.81 g cm⁻³
Space group = Pmm2, No. 25

a b c (Å): 2.7176 3.9769 5.6665
angles (deg): 90.00 90.00 90.00
Fractional positions:
Ag 0.5000 0.5000 0.7454
Re 0.0000 0.0000 0.0211
Re 0.5000 0.5000 0.2434
Rh 0.0000 0.0000 0.4901

***

a comes first in stability; the runner-up is 0.007 eV/atom higher.

***

a.
Re2AgRh2 after structural relaxation, computed with PBE.

Calculated volume = 158 Å³ per cell
Theoretical density = 14.41 g cm⁻³
Space group = P4/mbm, No. 127

a b c (Å): 7.6491 7.6491 2.7031
angles (deg): 90.00 90.00 90.00
Fractional positions:
Rh 0.6239 0.1239 0.0000
Rh 0.1239 0.3761 0.0000
Rh 0.8761 0.6239 0.0000
Rh 0.3761 0.8761 0.0000
Re 0.1701 0.6701 0.5000
Re 0.3299 0.1701 0.5000
Re 0.8299 0.3299 0.5000
Re 0.6701 0.8299 0.5000
Ag 0.0000 0.0000 0.0000
Ag 0.5000 0.5000 0.0000

***

b.
Re2AgRh2 after structural relaxation, computed with PBE.

Calculated volume = 84 Å³ per cell
Theoretical density = 13.52 g cm⁻³
Space group = I4/mmm, No. 139

a b c (Å): 3.6283 3.6283 6.8981
angles (deg): 74.75 74.75 90.00
Fractional positions:
Re 0.2500 0.7500 0.5000
Re 0.7500 0.2500 0.5000
Rh 0.6016 0.6016 0.7968
Rh 0.3984 0.3984 0.2032
Ag 0.0000 0.0000 0.0000

***

c.
Re2AgRh2 after structural relaxation, computed with PBE.

Calculated volume = 160 Å³ per cell
Theoretical density = 14.21 g cm⁻³
Space group = P4/mbm, No. 127

a b c (Å): 7.6828 7.6828 2.7175
angles (deg): 90.00 90.00 90.00
Fractional positions:
Ag 0.5000 0.5000 0.0000
Ag 0.0000 0.0000 0.0000
Re 0.6186 0.1186 0.0000
Re 0.1186 0.3814 0.0000
Re 0.8814 0.6186 0.0000
Re 0.3814 0.8814 0.0000
Rh 0.1702 0.6702 0.5000
Rh 0.3298 0.1702 0.5000
Rh 0.8298 0.3298 0.5000
Rh 0.6702 0.8298 0.5000

***

c comes first in stability; the runner-up is 0.070 eV/atom higher.